## Nd2SmDy6Y3 (PBE)

Data for Nd2SmDy6Y3 after structural relaxation.

Cell: 6.206 10.743 11.855 Å, 90.00 100.00 90.00°
Space group C2/m (No. 12)
Unique sites:
Nd 0.000 0.167 0.000 (multiplicity 4)
Sm 0.000 0.500 0.000 (multiplicity 2)
Dy 0.248 0.500 0.748 (multiplicity 4)
Dy 0.249 0.167 0.748 (multiplicity 8)
Y 0.000 0.000 0.500 (multiplicity 2)
Y 0.000 0.333 0.500 (multiplicity 4)

## Properties
Crystal system: monoclinic
E: -5.09 eV/atom
Energy of formation from the pure elements: 0.018 eV per atom
DOS at the Fermi energy: 1.38 states/eV/atom
Volume: 32.435 Å³ per atom
Total magnetization: 0.00 Bohr magnetons per cell

---

## K3Bi4Pt4 (PBE)

Data for K3Bi4Pt4 after structural relaxation.

Cell: 8.719 8.719 8.719 Å, 90.00 90.00 90.00°
Space group I-43m (No. 217)
Unique sites:
K 0.000 0.000 0.500 (multiplicity 6)
Bi 0.151 0.151 0.151 (multiplicity 8)
Pt 0.170 0.170 0.830 (multiplicity 8)

## Properties
Crystal system: cubic
Energy relative to the lowest polymorph listed for this composition: 0.00 kcal/mol of atoms
E: -4.19 eV/atom
Energy of formation from the pure elements: -0.285 eV per atom
DOS at the Fermi energy: 0.64 states/eV/atom
Volume: 30.133 Å³ per atom
Total magnetization: 0.00 Bohr magnetons per cell

---

## Pm3Nd3Mg (PBE)

Data for Pm3Nd3Mg after structural relaxation.

Cell: 9.670 5.772 9.673 Å, 90.00 119.97 90.00°
Space group P2_1/m (No. 11)
Unique sites:
Pm 0.055 0.250 0.241 (multiplicity 2)
Pm 0.186 0.250 0.945 (multiplicity 2)
Pm 0.241 0.750 0.186 (multiplicity 2)
Nd 0.102 0.750 0.475 (multiplicity 2)
Nd 0.373 0.750 0.897 (multiplicity 2)
Nd 0.475 0.250 0.373 (multiplicity 2)
Mg 0.333 0.250 0.666 (multiplicity 2)

## Properties
Crystal system: monoclinic
Energy relative to the lowest polymorph listed for this composition: 0.00 kcal/mol of atoms
E: -4.29 eV/atom
Energy of formation from the pure elements: 0.018 eV per atom
DOS at the Fermi energy: 1.46 states/eV/atom
Volume: 33.407 Å³ per atom
Total magnetization: 0.00 Bohr magnetons per cell